1.
TaCdSiO6 PBE optimized geometry; space-group type = P312; formation energy (no corrections) = -2.078 eV per atom; E_tot = -7.405 eV per atom
1.0
5.090 0.000 0.000
-2.545 4.408 0.000
0.000 0.000 4.781
Ta Cd Si O
1 1 1 6
direct
0.000 0.000 0.000
0.667 0.333 0.500
0.333 0.667 0.000
0.053 0.362 0.211
0.053 0.691 0.789
0.309 0.362 0.789
0.309 0.947 0.211
0.638 0.691 0.211
0.638 0.947 0.789

=====

2.
Cs3LaBr6 PBE optimized geometry; space-group type = P2_1/c; excess energy over the best structure of this formula in the dataset = 0.0 kJ/mol of atoms; formation energy (no corrections) = -1.921 eV per atom; E_tot = -3.674 eV per atom
1.0
14.998 0.000 0.000
0.000 8.933 0.000
-4.315 0.000 13.491
Cs La Br
12 4 24
direct
0.091 0.057 0.354
0.091 0.443 0.854
0.317 0.569 0.266
0.317 0.931 0.766
0.320 0.072 0.117
0.320 0.428 0.617
0.680 0.572 0.383
0.680 0.928 0.883
0.683 0.069 0.234
0.683 0.431 0.734
0.909 0.557 0.146
0.909 0.943 0.646
0.000 0.000 0.000
0.000 0.500 0.500
0.500 0.000 0.500
0.500 0.500 0.000
0.096 0.225 0.600
0.096 0.275 0.100
0.123 0.005 0.875
0.123 0.495 0.375
0.131 0.680 0.655
0.131 0.820 0.155
0.347 0.206 0.394
0.347 0.294 0.894
0.350 0.708 0.009
0.350 0.792 0.509
0.500 0.137 0.691
0.500 0.363 0.191
0.500 0.637 0.809
0.500 0.863 0.309
0.650 0.208 0.491
0.650 0.292 0.991
0.653 0.706 0.106
0.653 0.794 0.606
0.869 0.180 0.845
0.869 0.320 0.345
0.877 0.505 0.625
0.877 0.995 0.125
0.904 0.725 0.900
0.904 0.775 0.400

=====

3.
TaNiSb3 PBE optimized geometry; space-group type = Pm-3m; excess energy over the best structure of this formula in the dataset = 9.5 kJ/mol of atoms; formation energy (no corrections) = 0.925 eV per atom; E_tot = -5.076 eV per atom
1.0
5.306 0.000 0.000
0.000 5.306 0.000
0.000 0.000 5.306
Ta Ni Sb
1 1 3
direct
0.000 0.000 0.000
0.500 0.500 0.500
0.000 0.000 0.500
0.000 0.500 0.000
0.500 0.000 0.000

=====

4.
Sm4GaCl5 PBE optimized geometry; space-group type = C2/m; formation energy (no corrections) = -1.644 eV per atom; E_tot = -4.758 eV per atom
1.0
9.051 -2.030 0.000
9.051 2.030 0.000
-1.943 0.000 8.095
Sm Ga Cl
4 1 5
direct
0.000 0.000 0.238
0.000 0.000 0.762
0.343 0.343 0.910
0.657 0.657 0.090
0.500 0.500 0.000
0.166 0.166 0.326
0.172 0.172 0.854
0.500 0.500 0.500
0.828 0.828 0.146
0.834 0.834 0.674

=====

5.
SrSiSb PBE optimized geometry; space-group type = Cm; excess energy over the best structure of this formula in the dataset = 4.5 kJ/mol of atoms; formation energy (no corrections) = -0.432 eV per atom; E_tot = -4.174 eV per atom
1.0
16.747 0.000 0.000
0.000 4.213 0.000
-0.423 0.000 5.185
Sr Si Sb
4 4 4
direct
0.000 0.000 0.000
0.226 0.500 0.996
0.500 0.500 0.000
0.726 0.000 0.996
0.068 0.500 0.616
0.439 0.000 0.376
0.568 0.000 0.616
0.939 0.500 0.376
0.158 0.000 0.484
0.356 0.500 0.526
0.658 0.500 0.484
0.856 0.000 0.526

=====

6.
In5Pd7 PBE optimized geometry; space-group type = C2/m; calculated formation energy = -0.430 eV per atom; E_tot = -4.600 eV per atom
1.0
3.830 -2.329 0.000
3.830 2.329 0.000
-2.223 0.000 12.319
In Pd
5 7
direct
0.000 0.000 0.000
0.139 0.139 0.428
0.384 0.384 0.208
0.616 0.616 0.792
0.861 0.861 0.572
0.043 0.043 0.213
0.250 0.250 0.665
0.322 0.322 0.916
0.500 0.500 0.500
0.678 0.678 0.084
0.750 0.750 0.335
0.957 0.957 0.787